A plane-wave DFT calculation with PBE+U was carried out for a geometry-optimized Nd2NiBiO6 structure.

Calculated values
Energy ... -6.731 eV per atom
Spin magnetization ... 1.16 μB per formula unit
Fermi-level density of states ... 5.30 states/eV per cell

Lattice parameters (Å, degrees): 5.6601 5.9656 9.8951 90.00 123.37 90.00
Last column: nearest neighbours and their distance in Å.
Space group P2_1/c (No. 14)
Inequivalent atoms, fractional coordinates:
Nd1 0.2233 0.0648 0.2478 x4  6 O 2.35-2.62
Ni1 0.0000 0.0000 0.5000 x2  6 O 2.08-2.15
Bi1 0.5000 0.0000 0.0000 x2  6 O 2.25-2.27
O1 0.1174 0.2052 0.9338 x4  1 Ni 2.11, 1 Bi 2.25
O2 0.2278 0.6903 0.9330 x4  1 Ni 2.08, 1 Bi 2.26
O3 0.3683 0.0530 0.7401 x4  1 Ni 2.15, 1 Bi 2.27, 1 Nd 2.35